Entry 1:
Material: Li6AlIn
Method: DFT, GGA-PBE
State: optimized geometry Values from VASP.

```
&SYSTEM
  ibrav = 0, nat = 8, ntyp = 3
/
ATOMIC_SPECIES
Al 26.98 Al.upf
Li 6.94 Li.upf
In 114.82 In.upf
ATOMIC_POSITIONS angstrom
Al 0.000 -1.059 4.569
Li 0.000 -0.180 1.932
Li 2.286 1.914 0.873
Li 2.286 3.571 3.540
Li 2.286 4.922 0.852
In 2.286 0.671 3.494
Li 0.000 1.695 4.948
Li 0.000 2.491 2.363
CELL_PARAMETERS angstrom
4.572 0.000 0.000
0.000 5.643 0.404
0.000 -2.137 5.239
```

Summary:
Calculated formation energy   -161 meV per atom
Raw total energy   -2.41 eV per atom
DOS(E_F)   0.261 states/eV per atom

Entry 2:
Material: KPuCoCl6
Method: DFT, GGA-PBE
State: optimized geometry Values from VASP.

```
&SYSTEM
  ibrav = 0, nat = 18, ntyp = 4
/
ATOMIC_SPECIES
Pu 244.00 Pu.upf
Co 58.93 Co.upf
Cl 35.45 Cl.upf
K 39.10 K.upf
ATOMIC_POSITIONS angstrom
Pu -0.987 -2.880 4.245
Co 0.792 0.471 5.142
Cl 1.459 -1.725 4.202
Cl -7.765 -2.695 9.579
Cl 0.478 1.360 2.848
Cl 3.159 1.208 5.106
Cl -6.064 0.238 10.484
Cl -5.796 -1.229 7.207
Cl -5.084 -2.847 11.837
K -4.410 0.922 5.299
Cl -0.020 2.666 5.962
Co -5.397 -1.957 9.544
Cl -4.586 -4.153 8.723
Cl -3.088 -1.060 9.431
Cl 1.190 -0.258 7.479
K 0.000 0.000 0.000
Pu -3.619 1.393 10.441
Cl -1.517 -0.427 5.254
CELL_PARAMETERS angstrom
-0.560 -6.692 0.699
4.775 3.360 3.390
-8.821 1.845 10.597
```

Summary:
Raw formation energy   -1461.0 meV per atom
Raw total energy   -5.20 eV per atom
DOS(E_F)   1.219 states/eV per atom

Entry 3:
Material: LaPr4Sm
Method: DFT, GGA-PBE
State: optimized geometry Values from VASP.

```
&SYSTEM
  ibrav = 0, nat = 12, ntyp = 3
/
ATOMIC_SPECIES
La 138.91 La.upf
Sm 150.36 Sm.upf
Pr 140.91 Pr.upf
ATOMIC_POSITIONS angstrom
La -0.603 2.245 7.608
Sm 0.876 5.521 7.607
Sm 2.082 1.032 2.533
La -1.808 6.734 2.532
Pr 0.133 3.878 0.836
Pr 0.133 3.878 4.238
Pr -1.072 8.367 9.303
Pr 2.824 2.676 5.901
Pr -1.072 8.367 5.901
Pr 2.824 2.676 9.303
Pr 4.030 -1.814 4.238
Pr 4.030 -1.814 0.836
CELL_PARAMETERS angstrom
5.369 -2.425 0.000
-2.411 8.979 0.000
0.000 0.000 10.139
```

Summary:
Calculated formation energy   46 meV per atom
Excess energy over the best structure of this formula in the dataset   0.00 eV/f.u.
Raw total energy   -4.75 eV per atom
DOS(E_F)   1.476 states/eV per atom

Entry 4:
Material: AcPr3Rh
Method: DFT, GGA-PBE
State: optimized geometry Values from VASP.

```
&SYSTEM
  ibrav = 0, nat = 20, ntyp = 3
/
ATOMIC_SPECIES
Pr 140.91 Pr.upf
Ac 227.00 Ac.upf
Rh 102.91 Rh.upf
ATOMIC_POSITIONS angstrom
Pr 3.397 -6.831 1.044
Ac -1.862 -4.878 5.517
Pr -4.980 -6.864 4.728
Pr -2.603 -6.594 2.167
Pr 4.012 -3.368 -0.761
Rh -5.764 -9.064 2.859
Rh 6.557 -4.361 0.351
Pr -0.342 -6.870 -3.940
Rh -2.849 -6.476 -0.758
Pr 1.135 -6.555 7.151
Pr 5.773 -6.561 -1.517
Pr 2.550 -10.500 0.925
Pr -0.444 -8.083 -0.179
Pr 1.237 -5.342 3.390
Pr -3.219 -10.057 3.971
Pr -1.757 -2.924 2.286
Ac 2.655 -8.547 -2.306
Rh 3.642 -6.948 3.969
Ac 0.286 -8.744 3.390
Ac 0.507 -4.681 -0.179
CELL_PARAMETERS angstrom
-1.319 -5.781 -5.026
7.914 -2.587 0.899
-5.802 -5.057 7.338
```

Summary:
Calculated formation energy   -231 meV per atom
Excess energy over the best structure of this formula in the dataset   0.26 eV/f.u.
Raw total energy   -5.39 eV per atom
DOS(E_F)   1.100 states/eV per atom

Entry 5:
Material: Ac5La3Sm3
Method: DFT, GGA-PBE
State: optimized geometry Values from VASP.

```
&SYSTEM
  ibrav = 0, nat = 11, ntyp = 3
/
ATOMIC_SPECIES
Ac 227.00 Ac.upf
Sm 150.36 Sm.upf
La 138.91 La.upf
ATOMIC_POSITIONS angstrom
Ac 5.130 -2.056 4.798
Sm 3.678 -7.027 8.801
Ac -1.402 -3.159 4.782
Ac 2.075 -3.875 6.923
Sm 8.736 -1.157 4.333
La 1.622 -0.494 4.996
Sm 0.060 -1.186 1.954
La -1.046 -6.507 6.633
Ac -4.620 -4.886 6.742
La -5.924 0.181 5.472
Ac 8.224 -4.449 5.846
CELL_PARAMETERS angstrom
-0.555 3.246 1.987
-8.199 -4.653 5.324
11.510 -4.363 2.903
```

Summary:
Calculated formation energy   111 meV per atom
Raw total energy   -4.39 eV per atom
DOS(E_F)   1.601 states/eV per atom

Entry 6:
Material: Li2HgHF6
Method: DFT, GGA-PBE
State: optimized geometry Values from VASP.

```
&SYSTEM
  ibrav = 0, nat = 20, ntyp = 4
/
ATOMIC_SPECIES
Li 6.94 Li.upf
F 19.00 F.upf
Hg 200.59 Hg.upf
H 1.01 H.upf
ATOMIC_POSITIONS angstrom
Li -4.923 -6.349 6.760
F -1.356 -3.234 1.427
F -5.411 -2.102 4.674
F -2.763 -1.630 2.929
F -4.385 -4.578 7.730
F -2.871 -4.786 3.376
F -5.474 -8.111 5.788
F -5.226 -3.197 2.665
F -6.882 -6.507 7.290
Hg -1.610 -4.553 5.046
Li -4.826 -3.188 6.309
F -2.827 -7.639 4.043
F -3.852 -5.164 0.987
Hg -6.627 -5.189 3.671
H -2.919 -7.092 5.048
H -5.319 -2.649 3.670
F -5.366 -4.956 5.341
Li -3.412 -6.553 2.408
F -3.011 -6.545 6.052
Li -3.315 -3.393 1.957
CELL_PARAMETERS angstrom
-2.610 -5.082 0.005
0.893 -4.233 5.733
-6.521 -0.427 2.980
```

Summary:
Raw total energy   -3.84 eV per atom
DOS(E_F)   0.174 states/eV per atom

Entry 7:
Material: AlTlO2
Method: DFT, GGA-PBE
State: optimized geometry Values from VASP.

```
&SYSTEM
  ibrav = 0, nat = 16, ntyp = 3
/
ATOMIC_SPECIES
O 16.00 O.upf
Tl 204.38 Tl.upf
Al 26.98 Al.upf
ATOMIC_POSITIONS angstrom
O 0.808 2.395 2.883
Tl 0.471 2.992 5.765
Al 2.498 2.943 2.884
O 0.001 7.869 1.444
Tl 3.257 0.943 5.765
O 1.979 6.330 5.766
Al 5.284 0.992 2.884
Tl 5.101 4.878 2.881
Tl 2.315 6.928 2.881
O 4.765 5.476 5.766
Al 3.074 4.928 0.000
O 2.785 3.933 4.327
Al 0.288 6.879 0.000
O 5.571 0.002 4.327
O 3.594 1.541 2.883
O 2.787 3.938 1.444
CELL_PARAMETERS angstrom
5.572 0.000 0.000
0.000 7.871 0.000
0.000 0.000 5.767
```

Summary:
Excess energy over the best structure of this formula in the dataset   0.00 eV/f.u.
Raw formation energy   -2129.2 meV per atom
Raw total energy   -6.14 eV per atom
DOS(E_F)   0.000 states/eV per atom

Entry 8:
Material: YMnAg2Os
Method: DFT, GGA-PBE
State: optimized geometry Values from VASP.

```
&SYSTEM
  ibrav = 0, nat = 5, ntyp = 4
/
ATOMIC_SPECIES
Ag 107.87 Ag.upf
Mn 54.94 Mn.upf
Os 190.23 Os.upf
Y 88.91 Y.upf
ATOMIC_POSITIONS angstrom
Ag -0.064 -2.513 0.676
Mn -3.390 -2.097 1.904
Ag -1.122 0.637 2.260
Os -2.203 -0.221 -1.032
Y 0.000 0.000 0.000
CELL_PARAMETERS angstrom
-2.244 1.273 4.520
-4.407 -0.442 -2.063
-0.129 -5.025 1.352
```

Summary:
Calculated formation energy   2280 meV per atom
Raw total energy   -4.23 eV per atom
DOS(E_F)   1.467 states/eV per atom

Entry 9:
Material: NiBiPb3
Method: DFT, GGA-PBE
State: optimized geometry Values from VASP.

```
&SYSTEM
  ibrav = 0, nat = 5, ntyp = 3
/
ATOMIC_SPECIES
Pb 207.20 Pb.upf
Ni 58.69 Ni.upf
Bi 208.98 Bi.upf
ATOMIC_POSITIONS angstrom
Pb -0.172 -1.489 2.141
Pb 1.075 -1.995 -1.302
Pb -2.376 -0.796 -0.744
Ni 0.000 0.000 0.000
Bi -1.472 -4.280 0.096
CELL_PARAMETERS angstrom
-4.752 -1.591 -1.488
2.151 -3.991 -2.603
-0.343 -2.979 4.282
```

Summary:
Calculated formation energy   96 meV per atom
Excess energy over the best structure of this formula in the dataset   0.34 eV/f.u.
Raw total energy   -4.06 eV per atom
DOS(E_F)   0.485 states/eV per atom

Entry 10:
Material: Pu3SbS2
Method: DFT, GGA-PBE
State: optimized geometry Values from VASP.

```
&SYSTEM
  ibrav = 0, nat = 12, ntyp = 3
/
ATOMIC_SPECIES
Sb 121.76 Sb.upf
S 32.06 S.upf
Pu 244.00 Pu.upf
ATOMIC_POSITIONS angstrom
Sb 0.000 3.221 2.520
S 2.237 0.157 2.520
Pu 2.237 1.839 0.480
S 0.000 0.000 5.039
Pu 0.000 1.178 7.559
Pu 0.000 4.882 9.599
Pu 0.000 4.882 5.519
Pu 2.237 1.839 4.559
Sb 2.237 3.500 7.559
Pu 2.237 5.543 2.520
S 0.000 6.563 7.559
S 0.000 0.000 0.000
CELL_PARAMETERS angstrom
4.475 0.000 0.000
-2.237 6.720 0.000
0.000 0.000 10.079
```

Summary:
Excess energy over the best structure of this formula in the dataset   0.94 eV/f.u.
Raw formation energy   -1170.3 meV per atom
Raw total energy   -10.40 eV per atom
DOS(E_F)   3.628 states/eV per atom

Entry 11:
Material: Hg3SbAu
Method: DFT, GGA-PBE
State: optimized geometry Values from VASP.

```
&SYSTEM
  ibrav = 0, nat = 5, ntyp = 3
/
ATOMIC_SPECIES
Au 196.97 Au.upf
Hg 200.59 Hg.upf
Sb 121.76 Sb.upf
ATOMIC_POSITIONS angstrom
Au 0.000 0.000 0.000
Hg -1.087 2.148 1.134
Hg -2.399 -1.144 -0.132
Hg -0.381 1.077 -2.404
Sb -3.867 2.081 -1.401
CELL_PARAMETERS angstrom
-0.763 2.153 -4.808
-4.799 -2.288 -0.263
-2.173 4.297 2.269
```

Summary:
Excess energy over the best structure of this formula in the dataset   0.00 eV/f.u.
Raw formation energy   380.6 meV per atom
Raw total energy   -1.28 eV per atom
DOS(E_F)   0.964 states/eV per atom

Entry 12:
Material: TlFe2Ru
Method: DFT, GGA-PBE
State: optimized geometry Values from VASP.

```
&SYSTEM
  ibrav = 0, nat = 8, ntyp = 3
/
ATOMIC_SPECIES
Fe 55.84 Fe.upf
Ru 101.07 Ru.upf
Tl 204.38 Tl.upf
ATOMIC_POSITIONS angstrom
Fe 1.356 -0.607 -5.578
Ru 0.758 1.597 -4.728
Fe -0.991 3.226 -4.256
Ru 1.223 -0.316 -7.993
Tl 0.000 0.000 0.000
Fe -0.469 1.433 -7.876
Fe 0.047 3.229 -12.171
Tl -1.252 3.956 -6.947
CELL_PARAMETERS angstrom
-1.717 5.869 -3.682
3.234 -2.676 -5.773
-1.545 0.447 -5.485
```

Summary:
Calculated formation energy   780 meV per atom
Excess energy over the best structure of this formula in the dataset   1.57 eV/f.u.
Raw total energy   -6.36 eV per atom
DOS(E_F)   1.053 states/eV per atom

Entry 13:
Material: TaCrSb3
Method: DFT, GGA-PBE
State: optimized geometry Values from VASP.

```
&SYSTEM
  ibrav = 0, nat = 5, ntyp = 3
/
ATOMIC_SPECIES
Sb 121.76 Sb.upf
Cr 52.00 Cr.upf
Ta 180.95 Ta.upf
ATOMIC_POSITIONS angstrom
Sb 0.000 2.663 0.000
Sb 0.000 0.000 2.663
Cr 2.663 2.663 2.663
Sb 2.663 0.000 0.000
Ta 0.000 0.000 0.000
CELL_PARAMETERS angstrom
5.327 0.000 0.000
0.000 5.327 0.000
0.000 0.000 5.327
```

Summary:
Excess energy over the best structure of this formula in the dataset   1.44 eV/f.u.
Raw formation energy   1354.2 meV per atom
Raw total energy   -5.41 eV per atom
DOS(E_F)   2.889 states/eV per atom

Entry 14:
Material: ScZnOs2
Method: DFT, GGA-PBE
State: optimized geometry Values from VASP.

```
&SYSTEM
  ibrav = 0, nat = 4, ntyp = 3
/
ATOMIC_SPECIES
Sc 44.96 Sc.upf
Zn 65.41 Zn.upf
Os 190.23 Os.upf
ATOMIC_POSITIONS angstrom
Sc 6.356 1.073 0.632
Zn 19.069 3.220 1.895
Os 12.668 2.139 1.259
Os 0.045 0.008 0.004
CELL_PARAMETERS angstrom
8.796 0.021 0.012
8.315 2.868 0.012
8.315 1.404 2.501
```

Summary:
Calculated formation energy   166 meV per atom
Raw total energy   -7.35 eV per atom
DOS(E_F)   1.119 states/eV per atom

Entry 15:
Material: Ba2SrNiH8
Method: DFT, GGA-PBE
State: optimized geometry Values from VASP.

```
&SYSTEM
  ibrav = 0, nat = 12, ntyp = 4
/
ATOMIC_SPECIES
H 1.01 H.upf
Ba 137.33 Ba.upf
Ni 58.69 Ni.upf
Sr 87.62 Sr.upf
ATOMIC_POSITIONS angstrom
H 2.630 3.228 6.329
H -1.480 3.892 0.939
H 0.000 1.328 0.939
Ba 2.630 1.519 1.290
H 2.630 1.519 3.905
Ba 0.000 3.037 5.978
H 4.111 0.664 6.329
H 1.150 0.664 6.329
Ni 0.000 0.000 0.000
H 1.481 3.892 0.939
H 0.000 3.037 3.363
Sr 0.000 0.000 3.634
CELL_PARAMETERS angstrom
5.261 0.000 0.000
-2.630 4.556 0.000
0.000 0.000 7.268
```

Summary:
Raw total energy   -3.46 eV per atom
DOS(E_F)   0.331 states/eV per atom

Entry 16:
Material: Np2ReTc
Method: DFT, GGA-PBE
State: optimized geometry Values from VASP.

```
&SYSTEM
  ibrav = 0, nat = 4, ntyp = 3
/
ATOMIC_SPECIES
Np 237.00 Np.upf
Tc 98.00 Tc.upf
Re 186.21 Re.upf
ATOMIC_POSITIONS angstrom
Np 0.000 0.000 1.669
Np 0.000 0.000 5.042
Tc 1.681 1.681 0.000
Re 1.681 1.681 3.355
CELL_PARAMETERS angstrom
3.363 0.000 0.000
0.000 3.363 0.000
0.000 0.000 6.711
```

Summary:
Calculated formation energy   296 meV per atom
Excess energy over the best structure of this formula in the dataset   0.00 eV/f.u.
Raw total energy   -11.88 eV per atom
DOS(E_F)   1.736 states/eV per atom

Entry 17:
Material: TlGaBr2
Method: DFT, GGA-PBE
State: optimized geometry Values from VASP.

```
&SYSTEM
  ibrav = 0, nat = 4, ntyp = 3
/
ATOMIC_SPECIES
Br 79.90 Br.upf
Ga 69.72 Ga.upf
Tl 204.38 Tl.upf
ATOMIC_POSITIONS angstrom
Br 1.654 1.016 2.515
Ga 0.000 0.000 0.000
Br 4.808 2.953 8.107
Tl 3.231 1.984 5.311
CELL_PARAMETERS angstrom
4.416 0.009 1.295
2.006 3.935 1.295
0.040 0.024 8.032
```

Summary:
Excess energy over the best structure of this formula in the dataset   0.00 eV/f.u.
Raw formation energy   -690.1 meV per atom
Raw total energy   -2.87 eV per atom
DOS(E_F)   0.000 states/eV per atom

Entry 18:
Material: BeS
Method: DFT, GGA-PBE
State: optimized geometry Values from VASP.

```
&SYSTEM
  ibrav = 0, nat = 8, ntyp = 2
/
ATOMIC_SPECIES
Be 9.01 Be.upf
S 32.06 S.upf
ATOMIC_POSITIONS angstrom
Be -2.268 1.701 -1.636
Be -3.101 0.023 1.048
S -3.318 2.223 0.360
Be 0.000 0.000 0.000
S -0.216 2.200 -0.688
S -1.049 0.521 1.997
S -2.052 -0.498 -0.948
Be -1.265 2.721 1.309
CELL_PARAMETERS angstrom
-0.433 4.399 -1.376
-4.104 -0.997 -1.896
-2.098 1.043 3.993
```

Summary:
Excess energy over the best structure of this formula in the dataset   1.12 eV/f.u.
Raw formation energy   -508.9 meV per atom
Raw total energy   -4.44 eV per atom

Entry 19:
Material: Ag2TePd2
Method: DFT, GGA-PBE
State: optimized geometry Values from VASP.

```
&SYSTEM
  ibrav = 0, nat = 5, ntyp = 3
/
ATOMIC_SPECIES
Te 127.60 Te.upf
Ag 107.87 Ag.upf
Pd 106.42 Pd.upf
ATOMIC_POSITIONS angstrom
Te 0.000 0.000 0.000
Ag 1.881 3.762 3.489
Pd 3.762 3.762 5.627
Ag 3.762 1.881 3.489
Pd 1.881 1.881 1.352
CELL_PARAMETERS angstrom
3.762 0.000 0.000
0.000 3.762 0.000
1.881 1.881 6.978
```

Summary:
Excess energy over the best structure of this formula in the dataset   0.90 eV/f.u.
Raw formation energy   86.5 meV per atom
Raw total energy   -3.76 eV per atom
DOS(E_F)   0.438 states/eV per atom

Entry 20:
Material: DyAg2Cl5
Method: DFT, GGA-PBE
State: optimized geometry Values from VASP.

```
&SYSTEM
  ibrav = 0, nat = 8, ntyp = 3
/
ATOMIC_SPECIES
Ag 107.87 Ag.upf
Cl 35.45 Cl.upf
Dy 162.50 Dy.upf
ATOMIC_POSITIONS angstrom
Ag 3.986 3.640 1.907
Cl 2.726 0.231 1.653
Cl 4.136 1.866 4.710
Cl 2.049 4.999 2.427
Cl 0.183 2.907 6.288
Dy 0.346 0.258 0.431
Ag 2.236 0.514 5.307
Cl 2.851 5.985 6.479
CELL_PARAMETERS angstrom
4.755 -0.053 2.453
2.520 6.817 0.575
-0.991 0.586 7.291
```

Summary:
Raw formation energy   -1323.8 meV per atom
Raw total energy   -3.77 eV per atom
DOS(E_F)   0.000 states/eV per atom

Entry 21:
Material: ThNi5As2Pd
Method: DFT, GGA-PBE
State: optimized geometry Values from VASP.

```
&SYSTEM
  ibrav = 0, nat = 9, ntyp = 4
/
ATOMIC_SPECIES
Pd 106.42 Pd.upf
Ni 58.69 Ni.upf
As 74.92 As.upf
Th 232.04 Th.upf
ATOMIC_POSITIONS angstrom
Pd 0.000 0.000 0.000
Ni 2.292 -0.976 0.287
As 2.336 -2.093 2.276
Ni 3.859 -1.577 3.805
As 5.381 -1.062 5.333
Ni 0.320 -1.023 2.267
Ni 6.904 0.586 4.916
Ni 4.933 0.539 6.896
Th 3.366 1.140 3.378
CELL_PARAMETERS angstrom
-1.479 -2.764 2.406
2.464 -2.671 -1.554
6.732 2.280 6.757
```

Summary:
Calculated formation energy   -122 meV per atom
Raw total energy   -5.77 eV per atom
DOS(E_F)   0.975 states/eV per atom

Entry 22:
Material: Tm2Al3Tc
Method: DFT, GGA-PBE
State: optimized geometry Values from VASP.

```
&SYSTEM
  ibrav = 0, nat = 6, ntyp = 3
/
ATOMIC_SPECIES
Al 26.98 Al.upf
Tm 168.93 Tm.upf
Tc 98.00 Tc.upf
ATOMIC_POSITIONS angstrom
Al 2.300 -0.020 1.430
Tm 2.429 1.586 -1.356
Al 0.761 2.242 1.316
Tc 0.000 0.000 0.000
Tm -0.907 2.898 3.988
Al -0.122 0.054 2.706
CELL_PARAMETERS angstrom
4.844 -0.146 -2.551
-3.079 4.523 -0.229
-0.243 0.107 5.411
```

Summary:
Calculated formation energy   -502 meV per atom
Excess energy over the best structure of this formula in the dataset   0.18 eV/f.u.
Raw total energy   -5.59 eV per atom
DOS(E_F)   0.679 states/eV per atom